Entry 1:
This record from the Alexandria database describes a relaxed Pm7Si4Ge crystal. The functional is PBE.

Cell: 5.6185 8.6011 7.7654 Å, 69.49 68.79 70.94°
Positions (direct):
Pm: 0.8140 0.9321 0.4399
Pm: 0.1860 0.0679 0.5601
Pm: 0.0515 0.6490 0.2479
Pm: 0.9485 0.3510 0.7521
Pm: 0.3218 0.5786 0.7779
Pm: 0.5000 0.0000 0.0000
Pm: 0.6782 0.4214 0.2221
Si: 0.5738 0.2324 0.6200
Si: 0.4262 0.7676 0.3800
Si: 0.7373 0.6846 0.8408
Si: 0.2627 0.3154 0.1592
Ge: 0.0000 0.0000 0.0000

Computed properties:
Its final energy is -0.198 hartree per atom. Its uncorrected formation energy is -0.4199 eV per atom. The value obtained for the spin magnetization is 0.0 μB per cell. The symmetry is C2/m, No. 12.


Entry 2:
This record from the Alexandria database describes a relaxed Pm3SiGe3 crystal. The functional is PBE.

Cell: 5.9321 8.5772 8.5772 Å, 120.00 90.00 90.00°
Positions (direct):
Pm: 0.7500 0.6906 0.6097
Pm: 0.7500 0.3903 0.0809
Pm: 0.7500 0.9191 0.3094
Pm: 0.2500 0.3094 0.3903
Pm: 0.2500 0.6097 0.9191
Pm: 0.2500 0.0809 0.6906
Si: 0.2500 0.6667 0.3333
Si: 0.7500 0.3333 0.6667
Ge: 0.2500 0.7155 0.6398
Ge: 0.2500 0.3602 0.0757
Ge: 0.2500 0.9243 0.2845
Ge: 0.7500 0.2845 0.3602
Ge: 0.7500 0.6398 0.9243
Ge: 0.7500 0.0757 0.7155

Computed properties:
Its final energy is -0.197 hartree per atom. Its uncorrected formation energy is -0.5749 eV per atom. The value obtained for the spin magnetization is 0.0 μB per cell. As for the excess energy over the best structure of this formula in the dataset: 0.129 eV per atom. The symmetry is P6_3/m, No. 176.


Entry 3:
This record from the Alexandria database describes a relaxed Pm4Si3Ge crystal. The functional is PBE.

Cell: 4.4350 3.9532 10.9094 Å, 90.00 90.00 90.00°
Positions (direct):
Pm: 0.5000 0.5000 0.3622
Pm: 0.0000 0.5000 0.8589
Pm: 0.0000 0.0000 0.1405
Pm: 0.5000 0.0000 0.6396
Si: 0.0000 0.5000 0.5728
Si: 0.0000 0.0000 0.4269
Si: 0.5000 0.0000 0.9225
Ge: 0.5000 0.5000 0.0767

Computed properties:
Its final energy is -0.213 hartree per atom. Its uncorrected formation energy is -0.7980 eV per atom. The value obtained for the spin magnetization is 0.0 μB per cell. The symmetry is Pmm2, No. 25.


Entry 4:
This record from the Alexandria database describes a relaxed PmSiTc2Ge crystal. The functional is PBE.

Cell: 5.9081 5.8540 6.0254 Å, 119.06 90.00 90.00°
Positions (direct):
Pm: 0.7500 0.7524 0.5048
Pm: 0.2500 0.2476 0.4952
Si: 0.2500 0.8843 0.7686
Si: 0.7500 0.1157 0.2314
Tc: 0.5000 0.2552 0.0000
Tc: 0.0000 0.7448 0.0000
Tc: 0.5000 0.7448 0.0000
Tc: 0.0000 0.2552 0.0000
Ge: 0.2500 0.6386 0.2772
Ge: 0.7500 0.3614 0.7228

Computed properties:
Its final energy is -0.280 hartree per atom. Its uncorrected formation energy is -0.5172 eV per atom. The value obtained for the spin magnetization is 0.0 μB per cell. The symmetry is Cmcm, No. 63.


Entry 5:
This record from the Alexandria database describes a relaxed Pm8Si3GeTe4 crystal. The functional is PBE.

Cell: 8.6734 8.8320 8.6732 Å, 119.41 120.00 90.00°
Positions (direct):
Pm: 0.2417 0.7232 0.9817
Pm: 0.2415 0.7228 0.4830
Pm: 0.2592 0.2774 0.5183
Pm: 0.7400 0.7232 0.9817
Pm: 0.2600 0.2768 0.0183
Pm: 0.7408 0.7226 0.4817
Pm: 0.7585 0.2772 0.5170
Pm: 0.7583 0.2768 0.0183
Si: 0.5000 0.5000 0.0000
Si: 0.5000 0.5000 0.5000
Si: 0.0000 0.5000 0.5000
Ge: 0.0000 0.5000 0.0000
Te: 0.5000 0.0000 0.0000
Te: 0.5000 0.0000 0.5000
Te: 0.0000 0.0000 0.0000
Te: 0.0000 0.0000 0.5000

Computed properties:
Its final energy is -0.206 hartree per atom. Its uncorrected formation energy is -1.1436 eV per atom. The value obtained for the spin magnetization is 0.0 μB per cell. The symmetry is R-3m, No. 166.


Entry 6:
This record from the Alexandria database describes a relaxed Pm6SiGe2Te3 crystal. The functional is PBE.

Cell: 4.3495 8.8304 9.8460 Å, 104.44 102.76 90.00°
Positions (direct):
Pm: 0.3397 0.9032 0.6794
Pm: 0.6722 0.5689 0.3444
Pm: 0.6603 0.0968 0.3206
Pm: 0.0055 0.2340 0.0109
Pm: 0.9945 0.7660 0.9891
Pm: 0.3278 0.4311 0.6556
Si: 0.5000 0.0000 0.0000
Ge: 0.8334 0.6669 0.6667
Ge: 0.1666 0.3331 0.3333
Te: 0.5000 0.5000 0.0000
Te: 0.8332 0.1668 0.6663
Te: 0.1668 0.8332 0.3337

Computed properties:
Its final energy is -0.205 hartree per atom. Its uncorrected formation energy is -1.1868 eV per atom. The value obtained for the spin magnetization is 0.0 μB per cell. The symmetry is C2/m, No. 12.


Entry 7:
This record from the Alexandria database describes a relaxed Pm4SiGeTe2 crystal. The functional is PBE.

Cell: 4.3456 7.5099 7.6962 Å, 109.00 90.00 90.00°
Positions (direct):
Pm: 0.5000 0.2421 0.2236
Pm: 0.5000 0.7579 0.7764
Pm: 0.0000 0.2603 0.7768
Pm: 0.0000 0.7397 0.2232
Si: 0.5000 0.5000 0.0000
Ge: 0.0000 0.0000 0.0000
Te: 0.5000 0.0000 0.5000
Te: 0.0000 0.5000 0.5000

Computed properties:
Its final energy is -0.205 hartree per atom. Its uncorrected formation energy is -1.1692 eV per atom. The value obtained for the spin magnetization is 0.0 μB per cell. The symmetry is P2/m, No. 10.


Entry 8:
This record from the Alexandria database describes a relaxed Pm6Si2GeTe3 crystal. The functional is PBE.

Cell: 4.3415 8.8260 9.8395 Å, 104.56 102.75 90.00°
Positions (direct):
Pm: 0.3386 0.9010 0.6771
Pm: 0.6728 0.5679 0.3455
Pm: 0.6614 0.0990 0.3229
Pm: 0.0063 0.2364 0.0126
Pm: 0.9937 0.7636 0.9874
Pm: 0.3272 0.4321 0.6545
Si: 0.8332 0.6668 0.6665
Si: 0.1668 0.3332 0.3335
Ge: 0.5000 0.0000 0.0000
Te: 0.5000 0.5000 0.0000
Te: 0.8336 0.1670 0.6672
Te: 0.1664 0.8330 0.3328

Computed properties:
Its final energy is -0.206 hartree per atom. Its uncorrected formation energy is -1.1527 eV per atom. The value obtained for the spin magnetization is 0.0 μB per cell. The symmetry is C2/m, No. 12.


Entry 9:
This record from the Alexandria database describes a relaxed PmThSiGe crystal. The functional is PBE.

Cell: 5.1656 5.1656 5.1656 Å, 60.00 60.00 60.00°
Positions (direct):
Ge: 0.2500 0.2500 0.2500
Si: 0.7500 0.7500 0.7500
Th: 0.0000 0.0000 0.0000
Pm: 0.5000 0.5000 0.5000

Computed properties:
Its final energy is -0.220 hartree per atom. Its uncorrected formation energy is -0.4438 eV per atom. The value obtained for the spin magnetization is 0.0 μB per cell. The symmetry is F-43m, No. 216.


Entry 10:
This record from the Alexandria database describes a relaxed PmYSiGe crystal. The functional is PBE.

Cell: 4.3670 3.9492 5.8249 Å, 90.00 112.02 90.00°
Positions (direct):
Pm: 0.1405 0.0000 0.2809
Y: 0.8621 0.5000 0.7241
Si: 0.4197 0.0000 0.8394
Ge: 0.5778 0.5000 0.1556

Computed properties:
Its final energy is -0.226 hartree per atom. Its uncorrected formation energy is -0.8344 eV per atom. The value obtained for the spin magnetization is 0.0 μB per cell. As for the excess energy over the best structure of this formula in the dataset: 0.000 eV per atom. The symmetry is Amm2, No. 38.


Entry 11:
This record from the Alexandria database describes a relaxed PmYSiGe crystal. The functional is PBE.

Cell: 5.1043 5.1043 5.1043 Å, 60.00 60.00 60.00°
Positions (direct):
Y: 0.0000 0.0000 0.0000
Ge: 0.2500 0.2500 0.2500
Si: 0.7500 0.7500 0.7500
Pm: 0.5000 0.5000 0.5000

Computed properties:
Its final energy is -0.213 hartree per atom. Its uncorrected formation energy is -0.4901 eV per atom. The value obtained for the spin magnetization is 0.0 μB per cell. As for the excess energy over the best structure of this formula in the dataset: 0.344 eV per atom. The symmetry is F-43m, No. 216.


Entry 12:
This record from the Alexandria database describes a relaxed PmSm2Ge crystal. The functional is PBE.

Cell: 6.4355 7.8707 9.3862 Å, 90.00 90.00 90.00°
Positions (direct):
Pm: 0.6326 0.5299 0.2500
Pm: 0.8674 0.0299 0.2500
Pm: 0.3674 0.4701 0.7500
Pm: 0.1326 0.9701 0.7500
Sm: 0.1309 0.6872 0.0543
Sm: 0.3691 0.1872 0.4457
Sm: 0.8691 0.3128 0.5543
Sm: 0.6309 0.8128 0.9457
Sm: 0.8691 0.3128 0.9457
Sm: 0.6309 0.8128 0.5543
Sm: 0.1309 0.6872 0.4457
Sm: 0.3691 0.1872 0.0543
Ge: 0.0746 0.3808 0.2500
Ge: 0.4254 0.8808 0.2500
Ge: 0.9254 0.6192 0.7500
Ge: 0.5746 0.1192 0.7500

Computed properties:
Its final energy is -0.189 hartree per atom. The value obtained for the energy of formation from the pure elements is -0.45 eV per atom. The value obtained for the spin magnetization is 0.0 μB per cell. As for the excess energy over the best structure of this formula in the dataset: 0.000 eV per atom. The symmetry is Pnma, No. 62.


Entry 13:
This record from the Alexandria database describes a relaxed PmSmGe crystal. The functional is PBE.

Cell: 4.2896 8.1369 8.1369 Å, 120.00 90.00 90.00°
Site moments in Bohr magnetons follow the coordinates.
Positions (direct):
Pm: 0.5000 0.4084 0.4084  0.16
Pm: 0.5000 0.0000 0.5916  0.16
Pm: 0.5000 0.5916 0.0000  0.16
Sm: 0.0000 0.7352 0.7352  0.14
Sm: 0.0000 0.0000 0.2648  0.14
Sm: 0.0000 0.2648 0.0000  0.14
Ge: 0.0000 0.3333 0.6667  -0.01
Ge: 0.0000 0.6667 0.3333  -0.01
Ge: 0.5000 0.0000 0.0000  -0.01

Computed properties:
Its final energy is -0.195 hartree per atom. The value obtained for the energy of formation from the pure elements is -0.61 eV per atom. The value obtained for the spin magnetization is 1.8 μB per cell. As for the excess energy over the best structure of this formula in the dataset: 0.000 eV per atom. The symmetry is P-62m, No. 189.


Entry 14:
This record from the Alexandria database describes a relaxed PmSm2Ge crystal. The functional is PBE.

Cell: 3.8647 3.8647 10.0559 Å, 78.92 78.92 60.00°
Positions (direct):
Pm: 0.5007 0.5007 0.4978
Sm: 0.0645 0.0645 0.8064
Sm: 0.2685 0.2685 0.1946
Ge: 0.6663 0.6663 0.0012

Computed properties:
Its final energy is -0.181 hartree per atom. The value obtained for the energy of formation from the pure elements is -0.23 eV per atom. The value obtained for the spin magnetization is 0.0 μB per cell. As for the excess energy over the best structure of this formula in the dataset: 0.213 eV per atom. The symmetry is R3m, No. 160.


Entry 15:
This record from the Alexandria database describes a relaxed Pm3Sm2Ge3 crystal. The functional is PBE.

Cell: 4.0630 5.0126 10.9685 Å, 103.21 100.67 90.00°
Positions (direct):
Pm: 0.6118 0.6118 0.2237
Pm: 0.3882 0.3882 0.7763
Pm: 0.5000 0.0000 0.0000
Sm: 0.7298 0.2298 0.4596
Sm: 0.2702 0.7702 0.5404
Ge: 0.1261 0.1261 0.2522
Ge: 0.0000 0.5000 0.0000
Ge: 0.8739 0.8739 0.7478

Computed properties:
Its final energy is -0.191 hartree per atom. The value obtained for the energy of formation from the pure elements is -0.51 eV per atom. The value obtained for the spin magnetization is 0.0 μB per cell. The symmetry is Immm, No. 71.


Entry 16:
This record from the Alexandria database describes a relaxed Pm4SmGe5 crystal. The functional is PBE.

Cell: 6.0124 7.3779 7.3779 Å, 80.44 65.95 65.95°
Positions (direct):
Pm: 0.4013 0.3996 0.7997
Pm: 0.8009 0.7997 0.6004
Pm: 0.2011 0.2003 0.3996
Pm: 0.6006 0.6004 0.2003
Sm: 0.0012 0.0000 0.0000
Ge: 0.9012 0.3991 0.8005
Ge: 0.3003 0.8005 0.6009
Ge: 0.7017 0.1995 0.3991
Ge: 0.1008 0.6009 0.1995
Ge: 0.5013 0.0000 0.0000

Computed properties:
Its final energy is -0.197 hartree per atom. The value obtained for the energy of formation from the pure elements is -0.67 eV per atom. The value obtained for the spin magnetization is 0.0 μB per cell. The symmetry is I4/m, No. 87.


Entry 17:
This record from the Alexandria database describes a relaxed Pm12SmGe4 crystal. The functional is PBE.

Cell: 9.1496 9.1496 9.1496 Å, 109.47 109.47 109.47°
Positions (direct):
Pm: 0.8319 0.3271 0.1590
Pm: 0.3271 0.4952 0.1681
Pm: 0.8410 0.1681 0.6729
Pm: 0.3271 0.1590 0.8319
Pm: 0.1590 0.8319 0.3271
Pm: 0.6729 0.5048 0.8319
Pm: 0.4952 0.1681 0.3271
Pm: 0.5048 0.8319 0.6729
Pm: 0.6729 0.8410 0.1681
Pm: 0.8319 0.6729 0.5048
Pm: 0.1681 0.3271 0.4952
Pm: 0.1681 0.6729 0.8410
Sm: 0.0000 0.0000 0.0000
Ge: 0.0000 0.5000 0.0000
Ge: 0.5000 0.0000 0.0000
Ge: 0.5000 0.5000 0.5000
Ge: 0.0000 0.0000 0.5000

Computed properties:
Its final energy is -0.177 hartree per atom. The value obtained for the energy of formation from the pure elements is -0.09 eV per atom. The value obtained for the spin magnetization is 0.0 μB per cell. The symmetry is Im-3, No. 204.


Entry 18:
This record from the Alexandria database describes a relaxed Pm3Sm2Ge2 crystal. The functional is PBE.

Cell: 4.2718 6.3607 8.5263 Å, 109.36 90.00 109.62°
Positions (direct):
Pm: 0.5000 0.0000 0.0000
Pm: 0.6301 0.2602 0.4408
Pm: 0.3699 0.7398 0.5592
Sm: 0.8501 0.7002 0.1953
Sm: 0.1499 0.2998 0.8047
Ge: 0.8272 0.6544 0.8001
Ge: 0.1728 0.3456 0.1999

Computed properties:
Its final energy is -0.192 hartree per atom. The value obtained for the energy of formation from the pure elements is -0.52 eV per atom. The value obtained for the spin magnetization is 0.0 μB per cell. The symmetry is C2/m, No. 12.


Entry 19:
This record from the Alexandria database describes a relaxed Pm2Sm5Ge4 crystal. The functional is PBE.

Cell: 3.5721 7.0793 13.0976 Å, 88.64 97.84 90.00°
Positions (direct):
Pm: 0.9067 0.6964 0.8135
Pm: 0.0933 0.3036 0.1865
Sm: 0.1311 0.8029 0.2622
Sm: 0.8689 0.1971 0.7378
Sm: 0.2347 0.2477 0.4694
Sm: 0.5000 0.0000 0.0000
Sm: 0.7653 0.7523 0.5306
Ge: 0.6738 0.5031 0.3477
Ge: 0.0238 0.6549 0.0476
Ge: 0.3262 0.4969 0.6523
Ge: 0.9762 0.3451 0.9524

Computed properties:
Its final energy is -0.185 hartree per atom. The value obtained for the energy of formation from the pure elements is -0.34 eV per atom. The value obtained for the spin magnetization is 0.0 μB per cell. The symmetry is C2/m, No. 12.


Entry 20:
This record from the Alexandria database describes a relaxed PmSm2Ge2 crystal. The functional is PBE.

Cell: 4.2887 7.8231 7.8231 Å, 90.00 90.00 90.00°
Positions (direct):
Pm: 0.5000 0.5000 0.0000
Pm: 0.5000 0.0000 0.5000
Sm: 0.0000 0.6729 0.3271
Sm: 0.0000 0.8271 0.8271
Sm: 0.0000 0.1729 0.1729
Sm: 0.0000 0.3271 0.6729
Ge: 0.5000 0.3779 0.3779
Ge: 0.5000 0.8779 0.1221
Ge: 0.5000 0.1221 0.8779
Ge: 0.5000 0.6221 0.6221

Computed properties:
Its final energy is -0.199 hartree per atom. The value obtained for the energy of formation from the pure elements is -0.74 eV per atom. The value obtained for the spin magnetization is 0.0 μB per cell. As for the excess energy over the best structure of this formula in the dataset: 0.000 eV per atom. The symmetry is P4/mbm, No. 127.